1.
5
Lattice="5.684 0.000 0.000 0.000 5.684 0.000 0.000 0.000 5.684" Properties=species:S:1:pos:R:3 comment="KNaCr3 | the Alexandria database | meta-GGA SCAN | single point on PBEsol structure" energy_ev_per_atom=-11.876 pbc="T T T"
K 0.000 0.000 0.000
Na 2.842 2.842 2.842
Cr 0.000 0.000 2.842
Cr 0.000 2.842 0.000
Cr 2.842 0.000 0.000

2.
16
Lattice="8.139 0.000 0.000 0.000 8.139 0.000 0.000 0.000 8.139" Properties=species:S:1:pos:R:3 comment="KNa2Cr | the Alexandria database | meta-GGA SCAN | single point on PBEsol structure" energy_ev_per_atom=-8.353 pbc="T T T"
K 0.000 0.000 0.000
K 0.000 4.069 4.069
K 4.069 0.000 4.069
K 4.069 4.069 0.000
Na 2.035 2.035 2.035
Na 2.035 2.035 6.104
Na 2.035 6.104 2.035
Na 2.035 6.104 6.104
Na 6.104 2.035 2.035
Na 6.104 2.035 6.104
Na 6.104 6.104 2.035
Na 6.104 6.104 6.104
Cr 0.000 0.000 4.069
Cr 0.000 4.069 0.000
Cr 4.069 0.000 0.000
Cr 4.069 4.069 4.069

3.
4
Lattice="4.848 0.000 0.000 0.000 4.848 0.000 0.000 0.000 3.020" Properties=species:S:1:pos:R:3 comment="KCr2Ni | the Alexandria database | meta-GGA SCAN | single point on PBEsol structure" energy_ev_per_atom=-14.134 polymorph_energy_mev_per_atom=185 pbc="T T T"
K 0.000 0.000 0.000
Cr 0.000 2.424 1.510
Cr 2.424 0.000 1.510
Ni 2.424 2.424 0.000

4.
16
Lattice="6.468 0.000 0.000 0.000 6.468 0.000 0.000 0.000 6.468" Properties=species:S:1:pos:R:3 comment="KCr2Ni | the Alexandria database | meta-GGA SCAN | single point on PBEsol structure" energy_ev_per_atom=-14.318 polymorph_energy_mev_per_atom=0 pbc="T T T"
K 0.000 0.000 0.000
K 0.000 3.234 3.234
K 3.234 0.000 3.234
K 3.234 3.234 0.000
Cr 0.000 0.000 3.234
Cr 0.000 3.234 0.000
Cr 1.617 1.617 4.851
Cr 1.617 4.851 1.617
Cr 3.234 0.000 0.000
Cr 3.234 3.234 3.234
Cr 4.851 1.617 1.617
Cr 4.851 4.851 4.851
Ni 1.617 1.617 1.617
Ni 1.617 4.851 4.851
Ni 4.851 1.617 4.851
Ni 4.851 4.851 1.617

5.
16
Lattice="7.348 0.000 0.000 0.000 7.348 0.000 0.000 0.000 7.348" Properties=species:S:1:pos:R:3 comment="K2CrNi | the Alexandria database | meta-GGA SCAN | single point on PBEsol structure" energy_ev_per_atom=-11.859 pbc="T T T"
K 0.000 0.000 0.000
K 0.000 3.674 3.674
K 1.837 1.837 1.837
K 1.837 5.511 5.511
K 3.674 0.000 3.674
K 3.674 3.674 0.000
K 5.511 1.837 5.511
K 5.511 5.511 1.837
Cr 0.000 0.000 3.674
Cr 0.000 3.674 0.000
Cr 3.674 0.000 0.000
Cr 3.674 3.674 3.674
Ni 1.837 1.837 5.511
Ni 1.837 5.511 1.837
Ni 5.511 1.837 1.837
Ni 5.511 5.511 5.511

6.
5
Lattice="6.354 0.000 0.000 0.000 6.354 0.000 0.000 0.000 6.354" Properties=species:S:1:pos:R:3 comment="K3CrNi | the Alexandria database | meta-GGA SCAN | single point on PBEsol structure" energy_ev_per_atom=-10.800 pbc="T T T"
K 0.000 0.000 3.177
K 0.000 3.177 0.000
K 3.177 0.000 0.000
Cr 0.000 0.000 0.000
Ni 3.177 3.177 3.177

7.
4
Lattice="2.847 0.000 0.000 0.000 2.847 0.000 0.000 0.000 7.746" Properties=species:S:1:pos:R:3 comment="KCrNi2 | the Alexandria database | meta-GGA SCAN | single point on PBEsol structure" energy_ev_per_atom=-14.254 pbc="T T T"
K 0.000 0.000 0.000
Cr 0.000 0.000 3.873
Ni 1.424 1.424 2.581
Ni 1.424 1.424 5.165

8.
13
Lattice="-4.846 4.846 1.463 4.846 -4.846 1.463 4.846 4.846 -1.463" Properties=species:S:1:pos:R:3 comment="KCr4O8 | the Alexandria database | meta-GGA SCAN | single point on PBEsol structure" energy_ev_per_atom=-12.493 raw_formation_energy_ev_per_fu=-30.699 pbc="T T T"
K 0.000 0.000 0.000
Cr 6.434 1.476 0.000
Cr 1.476 3.257 0.000
Cr 3.370 1.588 1.463
Cr -1.588 3.370 1.463
O 3.270 0.393 0.000
O 3.360 2.893 0.000
O 4.452 -1.575 1.463
O 1.953 -1.485 1.463
O 2.893 6.331 0.000
O 0.393 6.421 0.000
O 1.485 1.953 1.463
O 1.575 4.452 1.463

9.
12
Lattice="4.302 -2.708 0.000 4.302 2.708 0.000 -0.550 0.000 7.582" Properties=species:S:1:pos:R:3 comment="KCr3O8 | the Alexandria database | meta-GGA SCAN | single point on PBEsol structure" energy_ev_per_atom=-11.562 raw_formation_energy_ev_per_fu=-25.416 pbc="T T T"
K 0.000 0.000 0.000
Cr -0.275 0.000 3.791
Cr 2.781 0.000 5.347
Cr 5.272 0.000 2.235
O 1.558 0.000 4.241
O 3.720 1.378 5.140
O 4.333 1.378 2.442
O 2.213 0.000 6.850
O 5.840 0.000 0.732
O 3.720 -1.378 5.140
O 4.333 -1.378 2.442
O 6.495 0.000 3.340

10.
61
Lattice="-4.868 4.868 7.219 4.868 -4.868 7.219 4.868 4.868 -7.219" Properties=species:S:1:pos:R:3 comment="KCr20O40 | the Alexandria database | meta-GGA SCAN | single point on PBEsol structure" energy_ev_per_atom=-12.480 raw_formation_energy_ev_per_fu=-136.033 pbc="T T T"
K 0.000 0.000 0.000
Cr 3.251 -1.473 2.889
Cr 3.397 1.618 -1.445
Cr 6.341 -1.617 4.330
Cr 6.464 1.492 0.000
Cr 3.251 -1.471 5.774
Cr 3.397 1.618 1.445
Cr 1.492 3.273 0.000
Cr 6.486 1.473 2.889
Cr 3.251 -1.471 8.664
Cr 3.396 1.617 4.330
Cr 1.473 3.251 2.889
Cr 1.618 6.340 -1.445
Cr -1.617 3.396 4.330
Cr 3.377 1.595 7.219
Cr 1.471 3.251 5.774
Cr 1.618 6.340 1.445
Cr -1.595 3.377 7.219
Cr -1.473 6.486 2.889
Cr 1.471 3.251 8.664
Cr 1.617 6.341 4.330
O 3.284 0.379 0.000
O 7.744 1.512 -1.435
O 5.252 1.579 -1.446
O 3.333 2.855 -2.882
O 1.512 1.993 -1.435
O 4.481 -1.577 4.330
O 2.013 -1.535 4.337
O 6.446 -0.387 2.889
O 3.291 0.387 2.889
O 7.744 1.512 1.435
O 5.252 1.579 1.446
O 3.337 2.858 0.000
O 1.512 1.993 1.435
O 4.490 -1.585 7.219
O 2.010 -1.531 7.219
O 1.579 4.485 -1.446
O 3.289 0.383 5.773
O 2.855 6.403 -2.882
O 5.255 1.577 4.330
O 3.333 2.855 2.882
O 1.535 2.013 4.337
O -0.387 3.291 2.889
O 2.013 -1.535 10.101
O 1.579 4.485 1.446
O 3.289 0.383 8.665
O 2.858 6.399 0.000
O 0.379 6.453 0.000
O 3.356 2.876 5.784
O 1.531 2.010 7.219
O -0.383 3.289 5.773
O -2.876 3.356 5.784
O 1.577 4.481 4.330
O -1.577 5.255 4.330
O 2.855 6.403 2.882
O 0.387 6.446 2.889
O 3.356 2.876 8.654
O 1.535 2.013 10.101
O -0.383 3.289 8.665
O -2.876 3.356 8.654
O 1.585 4.490 7.219

11.
44
Lattice="7.335 0.000 0.000 0.000 9.888 0.000 -2.389 0.000 7.825" Properties=species:S:1:pos:R:3 comment="KCrP2O7 | the Alexandria database | meta-GGA SCAN | single point on PBEsol structure" energy_ev_per_atom=-10.868 raw_formation_energy_ev_per_fu=-28.423 pbc="T T T"
K 1.159 1.746 0.425
K -0.035 3.198 4.338
K 4.981 6.691 3.487
K 3.787 8.142 7.399
Cr 1.099 5.933 2.056
Cr -0.095 8.899 5.968
Cr 5.041 0.989 1.856
Cr 3.847 3.955 5.769
P -1.018 5.903 6.519
P 0.177 8.929 2.606
P 1.580 6.297 5.422
P 2.774 8.535 1.510
P 2.172 1.353 6.315
P 3.367 3.591 2.403
P 4.769 0.959 5.218
P 5.964 3.985 1.306
O -0.634 4.995 2.187
O -1.829 9.838 6.100
O -1.198 7.291 5.885
O -0.003 7.542 1.973
O 0.989 5.861 0.141
O -0.206 8.972 4.054
O 1.093 5.985 4.019
O 2.287 8.847 0.106
O 0.545 5.509 6.402
O 1.740 9.323 2.490
O 0.792 0.797 5.983
O 1.986 4.148 2.070
O 2.728 7.055 1.926
O 1.534 7.778 5.839
O 3.412 2.110 1.986
O 2.218 2.834 5.899
O 2.960 5.741 5.755
O 4.154 9.092 1.842
O 3.206 0.565 5.335
O 4.401 4.379 1.422
O 2.659 1.041 7.719
O 3.853 3.903 3.806
O 5.152 0.916 3.771
O 3.957 4.028 7.684
O 4.950 2.347 5.852
O 6.144 2.597 1.940
O 6.775 0.050 1.725
O 5.580 4.894 5.638

12.
44
Lattice="7.355 0.000 0.000 0.000 7.346 0.000 -6.845 0.000 12.915" Properties=species:S:1:pos:R:3 comment="K2CrSO7 | the Alexandria database | meta-GGA SCAN | single point on PBEsol structure" energy_ev_per_atom=-10.021 raw_formation_energy_ev_per_fu=-21.945 pbc="T T T"
K -0.873 0.832 2.005
K -4.296 2.841 8.462
K -1.049 5.303 8.242
K 2.374 5.715 1.784
K -1.864 1.631 11.131
K 1.558 2.042 4.673
K 4.805 4.505 4.453
K 1.383 6.514 10.911
Cr -2.155 1.218 5.423
Cr -5.577 2.455 11.881
Cr 6.087 4.891 1.034
Cr 2.665 6.128 7.492
S -2.435 5.246 11.421
S 0.987 5.773 4.963
S -0.477 1.573 7.952
S 2.945 2.100 1.495
O -4.129 0.069 8.264
O -0.706 3.604 1.806
O -3.476 5.162 7.034
O -0.053 5.857 0.576
O -4.588 1.607 10.923
O -1.165 2.066 4.466
O -1.229 0.664 6.867
O 2.193 3.009 0.410
O -2.813 4.273 10.398
O 0.609 6.745 3.941
O -0.141 5.156 5.649
O -3.564 5.863 12.106
O 1.957 1.130 1.974
O -1.465 2.542 8.432
O 1.975 4.803 4.484
O -1.448 6.215 10.941
O 4.073 1.483 0.809
O 0.651 2.190 7.267
O -0.099 0.601 8.975
O 3.323 3.072 2.517
O -1.684 4.337 12.506
O 1.739 6.682 6.048
O 1.675 5.280 8.450
O 5.097 5.738 1.992
O 0.563 1.489 12.339
O 3.986 2.184 5.881
O 1.216 3.741 11.109
O 4.638 7.277 4.652

13.
5
Lattice="3.968 0.000 0.000 0.000 3.968 0.000 0.000 0.000 4.697" Properties=species:S:1:pos:R:3 comment="KCr2TcO | the Alexandria database | meta-GGA SCAN | single point on PBEsol structure" energy_ev_per_atom=-17.017 raw_formation_energy_ev_per_fu=1.305 pbc="T T T"
K 0.000 0.000 0.000
Cr 0.000 1.984 2.349
Cr 1.984 0.000 2.349
Tc 1.984 1.984 0.000
O 0.000 0.000 2.349

14.
16
Lattice="6.340 0.000 0.000 0.000 6.340 0.000 0.000 0.000 6.340" Properties=species:S:1:pos:R:3 comment="KCr2Os | the Alexandria database | meta-GGA SCAN | single point on PBEsol structure" energy_ev_per_atom=-27.946 polymorph_energy_mev_per_atom=558 pbc="T T T"
K 0.000 0.000 0.000
K 0.000 3.170 3.170
K 3.170 0.000 3.170
K 3.170 3.170 0.000
Cr 0.000 0.000 3.170
Cr 0.000 3.170 0.000
Cr 1.585 1.585 4.755
Cr 1.585 4.755 1.585
Cr 3.170 0.000 0.000
Cr 3.170 3.170 3.170
Cr 4.755 1.585 1.585
Cr 4.755 4.755 4.755
Os 1.585 1.585 1.585
Os 1.585 4.755 4.755
Os 4.755 1.585 4.755
Os 4.755 4.755 1.585

15.
5
Lattice="4.517 0.000 0.000 0.000 4.517 0.000 0.000 0.000 4.517" Properties=species:S:1:pos:R:3 comment="KCrOs3 | the Alexandria database | meta-GGA SCAN | single point on PBEsol structure" energy_ev_per_atom=-46.687 pbc="T T T"
K 0.000 0.000 0.000
Cr 2.258 2.258 2.258
Os 0.000 2.258 2.258
Os 2.258 0.000 2.258
Os 2.258 2.258 0.000

16.
4
Lattice="2.770 0.000 0.000 0.000 3.383 0.000 -0.006 0.000 8.002" Properties=species:S:1:pos:R:3 comment="KCr2Os | the Alexandria database | meta-GGA SCAN | single point on PBEsol structure" energy_ev_per_atom=-28.504 polymorph_energy_mev_per_atom=0 pbc="T T T"
K 0.000 0.000 0.000
Cr 0.010 0.000 3.900
Cr 1.392 1.691 5.107
Os 1.394 1.691 2.707

17.
16
Lattice="7.482 0.000 0.000 0.000 7.482 0.000 0.000 0.000 7.482" Properties=species:S:1:pos:R:3 comment="K2CrOs | the Alexandria database | meta-GGA SCAN | single point on PBEsol structure" energy_ev_per_atom=-24.907 pbc="T T T"
K 1.870 1.870 1.870
K 1.870 1.870 5.611
K 1.870 5.611 1.870
K 1.870 5.611 5.611
K 5.611 1.870 1.870
K 5.611 1.870 5.611
K 5.611 5.611 1.870
K 5.611 5.611 5.611
Cr 0.000 0.000 0.000
Cr 0.000 3.741 3.741
Cr 3.741 0.000 3.741
Cr 3.741 3.741 0.000
Os 0.000 0.000 3.741
Os 0.000 3.741 0.000
Os 3.741 0.000 0.000
Os 3.741 3.741 3.741

18.
5
Lattice="4.917 0.000 0.000 0.000 4.917 0.000 0.000 0.000 5.178" Properties=species:S:1:pos:R:3 comment="KRbCrOs2 | the Alexandria database | meta-GGA SCAN | single point on PBEsol structure" energy_ev_per_atom=-35.000 pbc="T T T"
K 0.000 0.000 0.000
Rb 2.458 2.458 2.589
Cr 2.458 2.458 0.000
Os 0.000 2.458 2.589
Os 2.458 0.000 2.589

19.
12
Lattice="6.584 0.000 0.000 0.000 6.584 0.000 0.000 0.000 6.584" Properties=species:S:1:pos:R:3 comment="KCrP | the Alexandria database | meta-GGA SCAN | single point on PBEsol structure" energy_ev_per_atom=-12.153 pbc="T T T"
K 0.000 0.000 0.000
K 0.000 3.292 3.292
K 3.292 0.000 3.292
K 3.292 3.292 0.000
Cr 0.000 0.000 3.292
Cr 0.000 3.292 0.000
Cr 3.292 0.000 0.000
Cr 3.292 3.292 3.292
P 1.646 1.646 4.938
P 1.646 4.938 1.646
P 4.938 1.646 1.646
P 4.938 4.938 4.938

20.
8
Lattice="4.460 0.000 0.000 0.000 4.460 0.000 0.000 0.000 6.987" Properties=species:S:1:pos:R:3 comment="KCrP2 | the Alexandria database | meta-GGA SCAN | single point on PBEsol structure" energy_ev_per_atom=-11.531 polymorph_energy_mev_per_atom=633 pbc="T T T"
K 0.000 0.000 0.000
K 2.230 2.230 3.494
Cr 0.000 0.000 3.494
Cr 2.230 2.230 0.000
P 0.000 2.230 1.747
P 0.000 2.230 5.240
P 2.230 0.000 1.747
P 2.230 0.000 5.240

21.
3
Lattice="4.072 0.000 0.000 -2.036 3.527 0.000 0.000 0.000 5.227" Properties=species:S:1:pos:R:3 comment="KCrP | the Alexandria database | meta-GGA SCAN | single point on PBEsol structure" energy_ev_per_atom=-12.700 pbc="T T T"
K 0.000 0.000 0.000
Cr 2.036 1.176 2.614
P 0.000 2.351 2.614

no.,size of the total moment (μB per formula unit)
1,16.5
2,5.4
3,9.4
4,0.2
5,4.5
6,4.9
7,2.8
8,9.0
9,3.0
10,41.0
11,3.0
12,0.1
13,4.5
14,1.5
15,0.0
16,1.6
17,7.9
18,7.1
19,4.0
20,3.1
21,4.0